TlGe2SbOs after structural relaxation. Source: Alexandria, functional PBE.

The total energy comes out at -3.6815 eV/atom. The value obtained for the theoretical density is 8.0 g cm⁻³. The energy relative to the elements, uncorrected comes out at 8.5 eV/f.u. The value obtained for the magnetic moment is 0.00 μB per formula unit.

It has space group P4/mmm (No. 123), with a = 5.178 Å, b = 5.178 Å, c = 5.124 Å, α = 90.00°, β = 90.00° and γ = 90.00°. The inequivalent atoms are Tl at (0.000, 0.000, 0.000), Ge at (0.000, 0.500, 0.000), Sb at (0.500, 0.500, 0.500) and Os at (0.000, 0.000, 0.500).

---

Sc2GeOs after structural relaxation. Source: Alexandria, functional PBE.

The total energy comes out at -7.0471 eV/atom. The value obtained for the theoretical density is 7.5 g cm⁻³. The formation energy from the elements comes out at 0.080 eV/atom. The value obtained for the magnetic moment is 0.00 μB per formula unit.

It has space group I-42d (No. 122), with a = 7.379 Å, b = 7.379 Å, c = 5.735 Å, α = 90.00°, β = 90.00° and γ = 90.00°. The inequivalent atoms are Sc at (0.217, 0.750, 0.125), Ge at (0.000, 0.000, 0.500) and Os at (0.000, 0.000, 0.000).

---

Which value of magnetic moment does entry 1 give? 0.00 μB per formula unit